[1]
An optimized crystal structure of Sr3Pm3ZnS8. Source: Alexandria via LeMat-Bulk, functional PBE.

extended XYZ file:
```
15
Lattice="4.060 2.344 6.880 -4.060 2.344 6.880 0.000 -4.688 6.880" Properties=species:S:1:pos:R:3 pbc="T T T"
Sr -2.030 -1.172 6.880
Sr -2.030 1.172 13.759
Sr 0.000 2.344 6.880
Pm -4.060 0.000 10.319
Pm -2.030 1.172 3.440
Pm 2.030 1.172 3.440
Zn 0.000 0.000 10.319
S 0.000 0.000 5.070
S -1.925 -1.111 11.825
S 0.000 -2.223 8.814
S -1.925 1.111 8.814
S 1.925 -1.111 11.825
S 0.000 2.223 11.825
S 1.925 1.111 8.814
S 0.000 0.000 15.568
```

Values from the calculation:
**Calculated density**: 4.312 g/cm3
**E**: -81.0 eV for the cell shown
**Formation energy without anion corrections**: -177 kJ per mole of atoms
**Fermi-level density of states**: 0.25 states/eV/atom

---

[2]
An optimized crystal structure of Ta2BeAu. Source: Alexandria via LeMat-Bulk, functional PBE.

extended XYZ file:
```
4
Lattice="5.226 -1.427 0.000 5.226 1.427 0.000 -2.129 0.000 4.219" Properties=species:S:1:pos:R:3 pbc="T T T"
Ta 0.000 0.000 0.000
Ta 0.727 0.000 3.015
Be 7.134 0.000 0.959
Au 3.579 0.000 1.815
```

Values from the calculation:
**Formation energy**: 0.0557 eV per atom
**Calculated density**: 14.986 g/cm3
**E**: -30.5 eV for the cell shown
**Fermi-level density of states**: 0.52 states/eV/atom

---

[3]
An optimized crystal structure of Tl2CuAu2. Source: Alexandria via LeMat-Bulk, functional PBE.

extended XYZ file:
```
10
Lattice="7.510 0.000 0.000 0.000 7.510 0.000 0.000 0.000 4.096" Properties=species:S:1:pos:R:3 pbc="T T T"
Tl 1.307 2.448 0.000
Tl 2.448 6.204 0.000
Tl 5.062 1.307 0.000
Tl 6.204 5.062 0.000
Cu 0.000 0.000 0.000
Cu 3.755 3.755 0.000
Au 0.991 4.746 2.048
Au 2.764 0.991 2.048
Au 4.746 6.519 2.048
Au 6.519 2.764 2.048
```

Values from the calculation:
**Formation energy**: 0.2940 eV per atom
**Calculated density**: 12.452 g/cm3
**E**: -27.8 eV for the cell shown
**Energy above the most stable polymorph in this dataset**: 165.9 meV/atom
**Fermi-level density of states**: 0.31 states/eV/atom

---

[4]
An optimized crystal structure of Te2AsRu. Source: Alexandria via LeMat-Bulk, functional PBE.

extended XYZ file:
```
4
Lattice="3.402 0.000 0.000 0.000 3.507 0.000 0.000 0.000 7.679" Properties=species:S:1:pos:R:3 pbc="T T T"
Te 0.000 0.000 0.000
Te 1.701 1.754 3.126
As 0.000 0.000 4.928
Ru 1.701 1.754 6.050
```

Values from the calculation:
**Calculated density**: 7.814 g/cm3
**E**: -19.4 eV for the cell shown
**Formation energy without anion corrections**: 20 kJ per mole of atoms
**Fermi-level density of states**: 1.02 states/eV/atom

---

[5]
An optimized crystal structure of Sc3TiSb4. Source: Alexandria via LeMat-Bulk, functional PBE.

extended XYZ file:
```
8
Lattice="4.118 -5.801 0.000 4.118 5.801 0.000 0.000 0.000 4.100" Properties=species:S:1:pos:R:3 pbc="T T T"
Sc 0.000 0.000 0.000
Sc 2.059 2.901 2.050
Sc 2.059 -2.901 2.050
Ti 4.118 0.000 0.000
Sb 4.118 2.845 0.000
Sb 2.135 0.000 2.050
Sb 6.101 0.000 2.050
Sb 4.118 -2.845 0.000
```

Values from the calculation:
**Calculated density**: 5.678 g/cm3
**E**: -49.6 eV for the cell shown
**Formation energy without anion corrections**: -75 kJ per mole of atoms
**Fermi-level density of states**: 0.31 states/eV/atom

---

[6]
An optimized crystal structure of Cd2Pt3Au. Source: Alexandria via LeMat-Bulk, functional PBE.

extended XYZ file:
```
6
Lattice="3.399 0.000 0.000 0.000 3.399 0.000 0.000 0.000 9.043" Properties=species:S:1:pos:R:3 pbc="T T T"
Cd 0.000 0.000 1.543
Cd 0.000 0.000 7.499
Pt 1.700 1.700 0.000
Pt 1.700 1.700 3.034
Pt 1.700 1.700 6.009
Au 0.000 0.000 4.521
```

Values from the calculation:
**Formation energy**: -0.1621 eV per atom
**Calculated density**: 16.005 g/cm3
**E**: -24.2 eV for the cell shown
**Fermi-level density of states**: 0.25 states/eV/atom